Below is a relaxed RbMnCd2F8 crystal, with properties calculated at the PBE with a Hubbard U level.

Calculated values
* spin magnetization: 3.97 μB per cell
* VASP energy: -4.456 eV/atom

abc: 5.1910 5.2609 7.2508
angles: 89.86 89.90 87.99
Space group P-1 (No. 2)
Symmetry-distinct sites (fractional):
Rb 0.0000 0.0000 0.0000
Mn 0.0000 0.0000 0.5000
Cd 0.5001 0.5001 0.2582
F 0.1657 0.7965 0.6824
F 0.1671 0.7978 0.3179
F 0.3126 0.2848 0.5004
F 0.4054 0.2817 0.0006